Below is Na3Mn5F12 after structural relaxation, with properties calculated at the PBE+U level.

The structure in POSCAR format:
```
Na3Mn5F12
1.0
-2.113 -11.286 -1.990
10.955 2.504 -3.086
-1.462 2.286 11.333
F Mn Na
48 20 12
Cartesian
0.711 -8.054 2.680
2.926 -6.953 1.209
-1.299 -6.518 0.972
5.933 -6.514 4.644
9.189 2.237 1.302
3.165 -6.358 6.719
8.115 -6.988 -4.102
-0.041 -5.778 4.584
4.215 -0.138 -0.462
6.252 -3.405 -1.929
1.621 -9.340 0.272
2.861 -5.068 3.960
0.928 -5.177 -0.262
2.406 -2.299 4.593
1.881 -3.272 1.937
-0.157 -7.559 -1.455
7.919 -6.333 -1.127
-0.540 -0.163 7.384
2.786 -0.402 7.466
0.537 -6.066 7.856
-2.332 -8.006 7.873
1.446 0.018 1.613
1.018 0.429 4.606
4.593 -6.093 -1.209
3.519 -3.039 -1.105
4.223 -9.065 -1.796
5.759 2.845 5.985
7.420 -0.717 1.673
5.499 -3.223 4.320
1.128 -3.090 8.186
8.389 -2.754 3.460
6.451 -1.319 6.519
7.770 -3.412 0.728
3.860 -3.456 7.362
6.842 -0.429 -1.599
-1.010 -3.741 2.797
-0.391 -3.083 5.529
3.156 2.570 8.053
4.453 0.458 5.048
7.537 1.064 7.712
4.518 -1.427 2.297
9.711 1.511 -1.616
6.361 -6.925 1.651
8.678 0.022 5.285
4.973 -4.197 1.664
6.668 1.558 3.577
-1.810 -8.732 4.955
-0.736 0.493 10.358
1.764 -3.320 -0.101
-1.788 -4.500 4.671
5.616 -3.175 6.358
-1.056 -5.643 -0.995
-1.495 -6.151 8.038
7.403 1.325 1.687
-0.731 1.143 5.666
3.478 0.100 1.427
4.421 -4.391 -2.538
-0.024 -7.820 4.570
3.901 -6.595 4.830
4.746 2.395 4.123
4.714 -6.042 0.829
8.874 -0.345 -1.781
5.477 1.252 -1.543
7.899 -4.291 -1.111
3.690 -3.248 3.128
2.666 -0.453 5.428
-0.520 -2.204 7.367
0.000 0.000 0.000
1.691 -4.400 6.099
5.689 -2.096 0.158
6.184 -7.711 -2.639
0.293 -1.651 3.367
6.510 -0.925 4.022
8.224 2.495 5.551
5.039 0.744 7.490
7.087 -4.844 2.890
1.195 1.216 8.896
0.870 -5.570 2.235
2.341 -7.240 -1.233
-0.845 -8.990 0.706
```

Properties
**Total energy**: -5.707 eV/atom
**Mass density**: 3.1 g cm⁻³